Entry 1:
Here is a relaxed structure of LiIr2F from Alexandria. Energies are from PBE.

Properties
The space group is Fm-3m (225). The value obtained for the uncorrected formation energy is 0.582 eV per atom. For the total energy, the calculation gives -0.17621 Ha/atom.

```
data_LiIr2F
_chemical_formula_sum 'Li4 Ir8 F4'
_space_group_name_H-M_alt 'P 1'
_space_group_IT_number 1
_space_group_name_Hall 'P 1'
_cell_length_a 5.857
_cell_length_b 5.857
_cell_length_c 5.857
_cell_angle_alpha 90.00
_cell_angle_beta 90.00
_cell_angle_gamma 90.00
loop_
_atom_site_label
_atom_site_fract_x
_atom_site_fract_y
_atom_site_fract_z
Li1 0.000 0.000 0.000
Li2 0.000 0.500 0.500
Li3 0.500 0.000 0.500
Li4 0.500 0.500 0.000
Ir1 0.250 0.250 0.250
Ir2 0.250 0.250 0.750
Ir3 0.250 0.750 0.250
Ir4 0.250 0.750 0.750
Ir5 0.750 0.250 0.250
Ir6 0.750 0.250 0.750
Ir7 0.750 0.750 0.250
Ir8 0.750 0.750 0.750
F1 0.000 0.000 0.500
F2 0.000 0.500 0.000
F3 0.500 0.000 0.000
F4 0.500 0.500 0.500
```

---

Entry 2:
Here is a relaxed structure of HoPt4Pb from Alexandria. Energies are from PBE.

Properties
The space group is F-43m (216). For the total energy, the calculation gives -0.22468 Ha/atom. For the energy of formation from the pure elements, the calculation gives -0.706 eV per atom.

```
data_HoPt4Pb
_chemical_formula_sum 'Ho1 Pt4 Pb1'
_space_group_name_H-M_alt 'P 1'
_space_group_IT_number 1
_space_group_name_Hall 'P 1'
_cell_length_a 5.445
_cell_length_b 5.445
_cell_length_c 5.445
_cell_angle_alpha 60.00
_cell_angle_beta 60.00
_cell_angle_gamma 60.00
loop_
_atom_site_label
_atom_site_fract_x
_atom_site_fract_y
_atom_site_fract_z
Ho1 0.000 0.000 0.000
Pt1 0.375 0.375 0.375
Pt2 0.375 0.375 0.876
Pt3 0.375 0.876 0.375
Pt4 0.876 0.375 0.375
Pb1 0.750 0.750 0.750
```

---

Entry 3:
Here is a relaxed structure of Ac2La3Tb4 from Alexandria. Energies are from PBE.

Properties
The space group is P3m1 (156). For the total energy, the calculation gives -0.16634 Ha/atom. For the energy of formation from the pure elements, the calculation gives 0.087 eV per atom.

```
data_Ac2La3Tb4
_chemical_formula_sum 'Ac2 La3 Tb4'
_space_group_name_H-M_alt 'P 1'
_space_group_IT_number 1
_space_group_name_Hall 'P 1'
_cell_length_a 3.727
_cell_length_b 3.727
_cell_length_c 27.602
_cell_angle_alpha 90.00
_cell_angle_beta 90.00
_cell_angle_gamma 120.00
loop_
_atom_site_label
_atom_site_fract_x
_atom_site_fract_y
_atom_site_fract_z
Ac1 0.000 0.000 0.000
Ac2 0.000 0.000 0.234
La1 0.000 0.000 0.784
La2 0.333 0.667 0.120
La3 0.333 0.667 0.465
Tb1 0.000 0.000 0.361
Tb2 0.000 0.000 0.576
Tb3 0.333 0.667 0.675
Tb4 0.333 0.667 0.890
```

---

Entry 4:
Here is a relaxed structure of CrAgAu2 from Alexandria. Energies are from PBE.

Properties
The space group is F-43m (216). For the total energy, the calculation gives -0.16972 Ha/atom. For the energy of formation from the pure elements, the calculation gives 0.139 eV per atom.

```
data_CrAgAu2
_chemical_formula_sum 'Cr4 Ag4 Au8'
_space_group_name_H-M_alt 'P 1'
_space_group_IT_number 1
_space_group_name_Hall 'P 1'
_cell_length_a 6.556
_cell_length_b 6.556
_cell_length_c 6.556
_cell_angle_alpha 90.00
_cell_angle_beta 90.00
_cell_angle_gamma 90.00
loop_
_atom_site_label
_atom_site_fract_x
_atom_site_fract_y
_atom_site_fract_z
Cr1 0.000 0.000 0.000
Cr2 0.000 0.500 0.500
Cr3 0.500 0.000 0.500
Cr4 0.500 0.500 0.000
Ag1 0.250 0.250 0.250
Ag2 0.250 0.750 0.750
Ag3 0.750 0.250 0.750
Ag4 0.750 0.750 0.250
Au1 0.000 0.000 0.500
Au2 0.000 0.500 0.000
Au3 0.250 0.250 0.750
Au4 0.250 0.750 0.250
Au5 0.500 0.000 0.000
Au6 0.500 0.500 0.500
Au7 0.750 0.250 0.250
Au8 0.750 0.750 0.750
```

---

Entry 5:
Here is a relaxed structure of NbCrAs2 from Alexandria. Energies are from PBE.

Properties
The space group is I-42d (122). For the total energy, the calculation gives -0.25798 Ha/atom. For the energy of formation from the pure elements, the calculation gives 0.228 eV per atom.

```
data_NbCrAs2
_chemical_formula_sum 'Nb4 Cr4 As8'
_space_group_name_H-M_alt 'P 1'
_space_group_IT_number 1
_space_group_name_Hall 'P 1'
_cell_length_a 5.804
_cell_length_b 5.804
_cell_length_c 11.636
_cell_angle_alpha 90.00
_cell_angle_beta 90.00
_cell_angle_gamma 90.00
loop_
_atom_site_label
_atom_site_fract_x
_atom_site_fract_y
_atom_site_fract_z
Nb1 0.000 0.000 0.000
Nb2 0.000 0.500 0.250
Nb3 0.500 0.000 0.750
Nb4 0.500 0.500 0.500
Cr1 0.000 0.000 0.500
Cr2 0.000 0.500 0.750
Cr3 0.500 0.000 0.250
Cr4 0.500 0.500 0.000
As1 0.246 0.250 0.625
As2 0.250 0.746 0.875
As3 0.250 0.754 0.375
As4 0.254 0.250 0.125
As5 0.746 0.750 0.125
As6 0.750 0.246 0.375
As7 0.750 0.254 0.875
As8 0.754 0.750 0.625
```

---

Entry 6:
Here is a relaxed structure of Tl8In3Hg2 from Alexandria. Energies are from PBE.

Properties
The space group is C2/m (12). For the total energy, the calculation gives -0.07642 Ha/atom. For the energy of formation from the pure elements, the calculation gives 0.055 eV per atom.

```
data_Tl8In3Hg2
_chemical_formula_sum 'Tl8 In3 Hg2'
_space_group_name_H-M_alt 'P 1'
_space_group_IT_number 1
_space_group_name_Hall 'P 1'
_cell_length_a 9.497
_cell_length_b 9.497
_cell_length_c 5.870
_cell_angle_alpha 104.46
_cell_angle_beta 104.46
_cell_angle_gamma 54.12
loop_
_atom_site_label
_atom_site_fract_x
_atom_site_fract_y
_atom_site_fract_z
Tl1 0.087 0.671 0.962
Tl2 0.101 0.101 0.480
Tl3 0.325 0.325 0.430
Tl4 0.329 0.913 0.038
Tl5 0.671 0.087 0.962
Tl6 0.675 0.675 0.570
Tl7 0.899 0.899 0.520
Tl8 0.913 0.329 0.038
In1 0.313 0.687 0.500
In2 0.500 0.500 0.000
In3 0.687 0.313 0.500
Hg1 0.262 0.262 0.878
Hg2 0.738 0.738 0.122
```

---

Entry 7:
Here is a relaxed structure of PrHoSc2 from Alexandria. Energies are from PBE.

Properties
The space group is R3m (160). For the total energy, the calculation gives -0.20003 Ha/atom. For the energy of formation from the pure elements, the calculation gives 0.062 eV per atom.

```
data_PrHoSc2
_chemical_formula_sum 'Pr3 Ho3 Sc6'
_space_group_name_H-M_alt 'P 1'
_space_group_IT_number 1
_space_group_name_Hall 'P 1'
_cell_length_a 3.483
_cell_length_b 3.483
_cell_length_c 32.909
_cell_angle_alpha 90.00
_cell_angle_beta 90.00
_cell_angle_gamma 120.00
loop_
_atom_site_label
_atom_site_fract_x
_atom_site_fract_y
_atom_site_fract_z
Pr1 0.000 0.000 0.000
Pr2 0.333 0.667 0.667
Pr3 0.667 0.333 0.333
Ho1 0.000 0.000 0.166
Ho2 0.333 0.667 0.833
Ho3 0.667 0.333 0.500
Sc1 0.000 0.000 0.418
Sc2 0.000 0.000 0.581
Sc3 0.333 0.667 0.085
Sc4 0.333 0.667 0.248
Sc5 0.667 0.333 0.751
Sc6 0.667 0.333 0.915
```

---

Entry 8:
Here is a relaxed structure of Al2Cu from Alexandria. Energies are from PBE.

Properties
The space group is P-3m1 (164). For the total energy, the calculation gives -0.14108 Ha/atom. For the energy of formation from the pure elements, the calculation gives 0.022 eV per atom.

```
data_Al2Cu
_chemical_formula_sum 'Al2 Cu1'
_space_group_name_H-M_alt 'P 1'
_space_group_IT_number 1
_space_group_name_Hall 'P 1'
_cell_length_a 4.321
_cell_length_b 4.321
_cell_length_c 2.783
_cell_angle_alpha 90.00
_cell_angle_beta 90.00
_cell_angle_gamma 120.00
loop_
_atom_site_label
_atom_site_fract_x
_atom_site_fract_y
_atom_site_fract_z
Al1 0.333 0.667 0.249
Al2 0.667 0.333 0.751
Cu1 0.000 0.000 0.500
```

---

Entry 9:
Here is a relaxed structure of Pu5Bi3Rh from Alexandria. Energies are from PBE.

Properties
The space group is P6_3/mcm (193). For the total energy, the calculation gives -0.38538 Ha/atom. For the energy of formation from the pure elements, the calculation gives -0.414 eV per atom.

```
data_Pu5Bi3Rh
_chemical_formula_sum 'Pu10 Bi6 Rh2'
_space_group_name_H-M_alt 'P 1'
_space_group_IT_number 1
_space_group_name_Hall 'P 1'
_cell_length_a 9.560
_cell_length_b 9.560
_cell_length_c 6.272
_cell_angle_alpha 90.00
_cell_angle_beta 90.00
_cell_angle_gamma 120.00
loop_
_atom_site_label
_atom_site_fract_x
_atom_site_fract_y
_atom_site_fract_z
Pu1 0.000 0.247 0.250
Pu2 0.000 0.753 0.750
Pu3 0.247 0.000 0.250
Pu4 0.247 0.247 0.750
Pu5 0.333 0.667 0.000
Pu6 0.333 0.667 0.500
Pu7 0.667 0.333 0.000
Pu8 0.667 0.333 0.500
Pu9 0.753 0.000 0.750
Pu10 0.753 0.753 0.250
Bi1 0.000 0.391 0.750
Bi2 0.000 0.609 0.250
Bi3 0.391 0.000 0.750
Bi4 0.391 0.391 0.250
Bi5 0.609 0.000 0.250
Bi6 0.609 0.609 0.750
Rh1 0.000 0.000 0.000
Rh2 0.000 0.000 0.500
```

---

Entry 10:
Here is a relaxed structure of AlFe2Ir from Alexandria. Energies are from PBE.

Properties
The space group is Immm (71). For the total energy, the calculation gives -0.28337 Ha/atom. For the energy of formation from the pure elements, the calculation gives -0.329 eV per atom.

```
data_AlFe2Ir
_chemical_formula_sum 'Al2 Fe4 Ir2'
_space_group_name_H-M_alt 'P 1'
_space_group_IT_number 1
_space_group_name_Hall 'P 1'
_cell_length_a 2.919
_cell_length_b 4.118
_cell_length_c 8.654
_cell_angle_alpha 90.00
_cell_angle_beta 90.00
_cell_angle_gamma 90.00
loop_
_atom_site_label
_atom_site_fract_x
_atom_site_fract_y
_atom_site_fract_z
Al1 0.000 0.000 0.000
Al2 0.500 0.500 0.500
Fe1 0.000 0.500 0.250
Fe2 0.000 0.500 0.750
Fe3 0.500 0.000 0.250
Fe4 0.500 0.000 0.750
Ir1 0.000 0.000 0.500
Ir2 0.500 0.500 0.000
```

---

Entry 11:
Here is a relaxed structure of Pm2Ga3HgPt4 from Alexandria. Energies are from PBE.

Properties
The space group is P-4m2 (115). For the total energy, the calculation gives -0.18919 Ha/atom. For the energy of formation from the pure elements, the calculation gives -0.843 eV per atom.

```
data_Pm2Ga3HgPt4
_chemical_formula_sum 'Pm2 Ga3 Hg1 Pt4'
_space_group_name_H-M_alt 'P 1'
_space_group_IT_number 1
_space_group_name_Hall 'P 1'
_cell_length_a 4.124
_cell_length_b 4.124
_cell_length_c 11.738
_cell_angle_alpha 90.00
_cell_angle_beta 90.00
_cell_angle_gamma 90.00
loop_
_atom_site_label
_atom_site_fract_x
_atom_site_fract_y
_atom_site_fract_z
Pm1 0.000 0.500 0.248
Pm2 0.500 0.000 0.752
Ga1 0.000 0.500 0.873
Ga2 0.500 0.000 0.127
Ga3 0.500 0.500 0.500
Hg1 0.000 0.000 0.500
Pt1 0.000 0.000 0.000
Pt2 0.000 0.500 0.664
Pt3 0.500 0.000 0.336
Pt4 0.500 0.500 0.000
```

---

Entry 12:
Here is a relaxed structure of Tb5Tl2CdIr2 from Alexandria. Energies are from PBE.

Properties
The space group is P4/mbm (127). For the total energy, the calculation gives -0.18884 Ha/atom. For the energy of formation from the pure elements, the calculation gives -0.486 eV per atom.

```
data_Tb5Tl2CdIr2
_chemical_formula_sum 'Tb10 Tl4 Cd2 Ir4'
_space_group_name_H-M_alt 'P 1'
_space_group_IT_number 1
_space_group_name_Hall 'P 1'
_cell_length_a 12.075
_cell_length_b 12.075
_cell_length_c 3.665
_cell_angle_alpha 90.00
_cell_angle_beta 90.00
_cell_angle_gamma 90.00
loop_
_atom_site_label
_atom_site_fract_x
_atom_site_fract_y
_atom_site_fract_z
Tb1 0.000 0.500 0.000
Tb2 0.077 0.207 0.000
Tb3 0.207 0.923 0.000
Tb4 0.293 0.423 0.000
Tb5 0.423 0.707 0.000
Tb6 0.500 0.000 0.000
Tb7 0.577 0.293 0.000
Tb8 0.707 0.577 0.000
Tb9 0.793 0.077 0.000
Tb10 0.923 0.793 0.000
Tl1 0.173 0.673 0.500
Tl2 0.327 0.173 0.500
Tl3 0.673 0.827 0.500
Tl4 0.827 0.327 0.500
Cd1 0.000 0.000 0.500
Cd2 0.500 0.500 0.500
Ir1 0.130 0.370 0.500
Ir2 0.370 0.870 0.500
Ir3 0.630 0.130 0.500
Ir4 0.870 0.630 0.500
```

---

Entry 13:
Here is a relaxed structure of HgAs2S2 from Alexandria. Energies are from PBE.

Properties
The space group is P4/mbm (127). The value obtained for the uncorrected formation energy is 0.073 eV per atom. For the total energy, the calculation gives -0.12856 Ha/atom.

```
data_HgAs2S2
_chemical_formula_sum 'Hg2 As4 S4'
_space_group_name_H-M_alt 'P 1'
_space_group_IT_number 1
_space_group_name_Hall 'P 1'
_cell_length_a 8.489
_cell_length_b 8.489
_cell_length_c 3.376
_cell_angle_alpha 90.00
_cell_angle_beta 90.00
_cell_angle_gamma 90.00
loop_
_atom_site_label
_atom_site_fract_x
_atom_site_fract_y
_atom_site_fract_z
Hg1 0.000 0.000 0.000
Hg2 0.500 0.500 0.000
As1 0.231 0.269 0.000
As2 0.269 0.769 0.000
As3 0.731 0.231 0.000
As4 0.769 0.731 0.000
S1 0.139 0.639 0.500
S2 0.361 0.139 0.500
S3 0.639 0.861 0.500
S4 0.861 0.361 0.500
```

---

Entry 14:
Here is a relaxed structure of Y2ZrCo from Alexandria. Energies are from PBE.

Properties
The space group is R3m (160). For the total energy, the calculation gives -0.26095 Ha/atom. For the energy of formation from the pure elements, the calculation gives 0.045 eV per atom.

```
data_Y2ZrCo
_chemical_formula_sum 'Y6 Zr3 Co3'
_space_group_name_H-M_alt 'P 1'
_space_group_IT_number 1
_space_group_name_Hall 'P 1'
_cell_length_a 3.548
_cell_length_b 3.548
_cell_length_c 27.741
_cell_angle_alpha 90.00
_cell_angle_beta 90.00
_cell_angle_gamma 120.00
loop_
_atom_site_label
_atom_site_fract_x
_atom_site_fract_y
_atom_site_fract_z
Y1 0.000 0.000 0.000
Y2 0.000 0.000 0.217
Y3 0.333 0.667 0.667
Y4 0.333 0.667 0.883
Y5 0.667 0.333 0.333
Y6 0.667 0.333 0.550
Zr1 0.000 0.000 0.766
Zr2 0.333 0.667 0.432
Zr3 0.667 0.333 0.099
Co1 0.000 0.000 0.486
Co2 0.333 0.667 0.152
Co3 0.667 0.333 0.819
```

---

Entry 15:
Here is a relaxed structure of ZnGa4Ir2 from Alexandria. Energies are from PBE.

Properties
The space group is R-3m (166). For the total energy, the calculation gives -0.17399 Ha/atom. For the energy of formation from the pure elements, the calculation gives -0.291 eV per atom.

```
data_ZnGa4Ir2
_chemical_formula_sum 'Zn1 Ga4 Ir2'
_space_group_name_H-M_alt 'P 1'
_space_group_IT_number 1
_space_group_name_Hall 'P 1'
_cell_length_a 8.966
_cell_length_b 8.966
_cell_length_c 8.966
_cell_angle_alpha 26.96
_cell_angle_beta 26.96
_cell_angle_gamma 26.96
loop_
_atom_site_label
_atom_site_fract_x
_atom_site_fract_y
_atom_site_fract_z
Zn1 0.000 0.000 0.000
Ga1 0.196 0.196 0.196
Ga2 0.404 0.404 0.404
Ga3 0.596 0.596 0.596
Ga4 0.804 0.804 0.804
Ir1 0.096 0.096 0.096
Ir2 0.904 0.904 0.904
```

---

Entry 16:
Here is a relaxed structure of Sc2InGa from Alexandria. Energies are from PBE.

Properties
The space group is R-3m (166). For the total energy, the calculation gives -0.18298 Ha/atom. For the energy of formation from the pure elements, the calculation gives -0.372 eV per atom.

```
data_Sc2InGa
_chemical_formula_sum 'Sc6 In3 Ga3'
_space_group_name_H-M_alt 'P 1'
_space_group_IT_number 1
_space_group_name_Hall 'P 1'
_cell_length_a 3.391
_cell_length_b 3.391
_cell_length_c 26.969
_cell_angle_alpha 90.00
_cell_angle_beta 90.00
_cell_angle_gamma 120.00
loop_
_atom_site_label
_atom_site_fract_x
_atom_site_fract_y
_atom_site_fract_z
Sc1 0.000 0.000 0.243
Sc2 0.000 0.000 0.757
Sc3 0.333 0.667 0.423
Sc4 0.333 0.667 0.910
Sc5 0.667 0.333 0.090
Sc6 0.667 0.333 0.577
In1 0.000 0.000 0.000
In2 0.333 0.667 0.667
In3 0.667 0.333 0.333
Ga1 0.000 0.000 0.500
Ga2 0.333 0.667 0.167
Ga3 0.667 0.333 0.833
```

---

Entry 17:
Here is a relaxed structure of NaAg9Pb2 from Alexandria. Energies are from PBE.

Properties
The space group is R-3m (166). For the total energy, the calculation gives -0.10415 Ha/atom. For the energy of formation from the pure elements, the calculation gives 0.032 eV per atom.

```
data_NaAg9Pb2
_chemical_formula_sum 'Na1 Ag9 Pb2'
_space_group_name_H-M_alt 'P 1'
_space_group_IT_number 1
_space_group_name_Hall 'P 1'
_cell_length_a 9.796
_cell_length_b 9.796
_cell_length_c 9.796
_cell_angle_alpha 33.89
_cell_angle_beta 33.89
_cell_angle_gamma 33.89
loop_
_atom_site_label
_atom_site_fract_x
_atom_site_fract_y
_atom_site_fract_z
Na1 0.000 0.000 0.000
Ag1 0.081 0.585 0.585
Ag2 0.334 0.334 0.334
Ag3 0.415 0.415 0.919
Ag4 0.415 0.919 0.415
Ag5 0.500 0.500 0.500
Ag6 0.585 0.081 0.585
Ag7 0.585 0.585 0.081
Ag8 0.666 0.666 0.666
Ag9 0.919 0.415 0.415
Pb1 0.143 0.143 0.143
Pb2 0.857 0.857 0.857
```